First-principles (PBE-GGA) data for a relaxed Tl2GePbO4 crystal, as listed in Alexandria.

- M_tot (μB per cell) = 0.00
- DFT total energy (eV per atom) = -5.295
- D(E_F) (states/eV/f.u.) = 0.00
- formation energy without anion corrections (eV/atom) = -1.184

Geometry as CIF:
```
data_Tl2GePbO4
_chemical_formula_sum 'Tl4 Ge2 Pb2 O8'
_cell_length_a 7.9130
_cell_length_b 8.1035
_cell_length_c 5.4032
_cell_angle_alpha 90.00
_cell_angle_beta 90.00
_cell_angle_gamma 90.00
_space_group_name_H-M_alt 'P m n 21'
_space_group_IT_number 31
loop_
_space_group_symop_operation_xyz
'x,y,z'
'-x+1/2,-y,z+1/2'
'-x,y,z'
'x+1/2,-y,z+1/2'
loop_
_atom_site_label
_atom_site_fract_x
_atom_site_fract_y
_atom_site_fract_z
Tl1 0.2218 0.1893 0.0000
Ge1 0.0000 0.4054 0.4832
Pb1 0.0000 0.6754 0.0049
O1 0.0000 0.4086 0.1458
O2 0.0000 0.6206 0.5768
O3 0.1876 0.3080 0.5818
```

=====

First-principles (PBE-GGA) data for a relaxed ErLuIn4 crystal, as listed in Alexandria.

- M_tot (μB per cell) = 0.00
- DFT total energy (eV per atom) = -3.583
- D(E_F) (states/eV/f.u.) = 3.94
- energy of formation (eV/atom) = -0.2434

Geometry as CIF:
```
data_ErLuIn4
_chemical_formula_sum 'Er4 Lu4 In16'
_cell_length_a 8.4281
_cell_length_b 8.4281
_cell_length_c 8.4281
_cell_angle_alpha 90.00
_cell_angle_beta 90.00
_cell_angle_gamma 90.00
_space_group_name_H-M_alt 'F -4 3 m'
_space_group_IT_number 216
_space_group_name_Hall 'F -4 2 3'
loop_
_atom_site_label
_atom_site_fract_x
_atom_site_fract_y
_atom_site_fract_z
Er1 0.0000 0.0000 0.0000
Lu1 0.2500 0.2500 0.2500
In1 0.1250 0.1250 0.6250
```

=====

First-principles (PBE-GGA) data for a relaxed SmEuIr crystal, as listed in Alexandria.

- M_tot (μB per cell) = 14.10
- DFT total energy (eV per atom) = -8.357
- D(E_F) (states/eV/f.u.) = 10.15
- energy of formation (eV/atom) = -0.4057
- energy above the most stable polymorph in this dataset (meV per atom) = 70.1

Geometry as CIF:
```
data_SmEuIr
_chemical_formula_sum 'Sm2 Eu2 Ir2'
_cell_length_a 3.5374
_cell_length_b 3.5374
_cell_length_c 13.4836
_cell_angle_alpha 90.00
_cell_angle_beta 90.00
_cell_angle_gamma 90.00
_space_group_name_H-M_alt 'I 4 m m'
_space_group_IT_number 107
_space_group_name_Hall 'I 4 -2'
loop_
_atom_site_label
_atom_site_fract_x
_atom_site_fract_y
_atom_site_fract_z
Sm1 0.0000 0.0000 0.0000
Eu1 0.0000 0.0000 0.7491
Ir1 0.0000 0.0000 0.3870
```

=====

First-principles (PBE-GGA) data for a relaxed K4TeS crystal, as listed in Alexandria.

- M_tot (μB per cell) = 0.06
- DFT total energy (eV per atom) = -2.971
- D(E_F) (states/eV/f.u.) = 0.00
- formation energy without anion corrections (eV/atom) = -1.028

Geometry as CIF:
```
data_K4TeS
_chemical_formula_sum 'K4 Te1 S1'
_cell_length_a 5.5057
_cell_length_b 5.5057
_cell_length_c 7.9496
_cell_angle_alpha 90.00
_cell_angle_beta 90.00
_cell_angle_gamma 90.00
_space_group_name_H-M_alt 'P 4/m m m'
_space_group_IT_number 123
_space_group_name_Hall '-P 4 2'
loop_
_atom_site_label
_atom_site_fract_x
_atom_site_fract_y
_atom_site_fract_z
K1 0.0000 0.5000 0.2297
Te1 0.0000 0.0000 0.5000
S1 0.5000 0.5000 0.0000
```

=====

First-principles (PBE-GGA) data for a relaxed CsNbTeSe2 crystal, as listed in Alexandria.

- M_tot (μB per cell) = 0.00
- DFT total energy (eV per atom) = -4.856
- D(E_F) (states/eV/f.u.) = 3.28
- formation energy without anion corrections (eV/atom) = -0.649

Geometry as CIF:
```
data_CsNbTeSe2
_chemical_formula_sum 'Cs1 Nb1 Te1 Se2'
_cell_length_a 5.1903
_cell_length_b 5.1903
_cell_length_c 5.6113
_cell_angle_alpha 90.00
_cell_angle_beta 90.00
_cell_angle_gamma 90.00
_space_group_name_H-M_alt 'P 4/m m m'
_space_group_IT_number 123
_space_group_name_Hall '-P 4 2'
loop_
_atom_site_label
_atom_site_fract_x
_atom_site_fract_y
_atom_site_fract_z
Cs1 0.0000 0.0000 0.0000
Nb1 0.5000 0.5000 0.5000
Te1 0.5000 0.5000 0.0000
Se1 0.0000 0.5000 0.5000
```

=====

First-principles (PBE-GGA) data for a relaxed CePm3Th2S6 crystal, as listed in Alexandria.

- M_tot (μB per cell) = 1.37
- DFT total energy (eV per atom) = -6.947
- D(E_F) (states/eV/f.u.) = 10.30
- formation energy without anion corrections (eV/atom) = -1.965

Geometry as CIF:
```
data_CePm3Th2S6
_chemical_formula_sum 'Ce2 Pm6 Th4 S12'
_cell_length_a 6.9645
_cell_length_b 12.0360
_cell_length_c 7.0338
_cell_angle_alpha 90.00
_cell_angle_beta 109.20
_cell_angle_gamma 90.00
_space_group_name_H-M_alt 'C 1 2/m 1'
_space_group_IT_number 12
loop_
_space_group_symop_operation_xyz
'x,y,z'
'-x,-y,-z'
'-x,y,-z'
'x,-y,z'
'x+1/2,y+1/2,z'
'-x+1/2,-y+1/2,-z'
'-x+1/2,y+1/2,-z'
'x+1/2,-y+1/2,z'
loop_
_atom_site_label
_atom_site_fract_x
_atom_site_fract_y
_atom_site_fract_z
Ce1 0.0000 0.0000 0.0000
Pm1 0.0000 0.1672 0.5000
Pm2 0.0000 0.5000 0.5000
Th1 0.0000 0.3336 0.0000
S1 0.2483 0.0000 0.7476
S2 0.2500 0.1663 0.2516
```

=====

Q: Among the records above, which one has the highest M_tot?
A: SmEuIr